The following is a DFT calculation (PBE) of a geometry-optimized LaPrI5 structure.

Lattice parameters (Å, degrees): 9.372 4.356 15.095 90.00 94.41 90.00
Space group P2_1/m (No. 11)
One atom of each set of equivalent atoms:
1 La 0.100 0.250 0.151 (multiplicity 2)
2 Pr 0.416 0.750 0.344 (multiplicity 2)
3 I 0.066 0.750 0.309 (multiplicity 2)
4 I 0.139 0.250 0.930 (multiplicity 2)
5 I 0.318 0.250 0.486 (multiplicity 2)
6 I 0.350 0.750 0.128 (multiplicity 2)
7 I 0.362 0.750 0.714 (multiplicity 2)

Results
- E_form (uncorrected) (eV/atom) = -1.44